1.
Compound: ReAs2RuBr
Source: Alexandria
Functional: PBE-GGA
Structure: relaxed

Energy above the lowest structure with this stoichiometry = 0.0000 eV per atom
Energy relative to the elements, uncorrected = 1.26 eV per atom

CIF file:
```
data_ReAs2RuBr
_chemical_formula_sum 'Re1 As2 Ru1 Br1'
_cell_length_a 4.722
_cell_length_b 4.722
_cell_length_c 5.406
_cell_angle_alpha 90.00
_cell_angle_beta 90.00
_cell_angle_gamma 90.00
_symmetry_space_group_name_H-M 'P 4/m m m'
_symmetry_Int_Tables_number 123
_symmetry_space_group_name_Hall '-P 4 2'
loop_
_atom_site_label
_atom_site_type_symbol
_atom_site_fract_x
_atom_site_fract_y
_atom_site_fract_z
_atom_site_occupancy
Re1 Re 0.000 0.000 0.000 1
As1 As 0.000 0.500 0.000 1
Ru1 Ru 0.500 0.500 0.500 1
Br1 Br 0.000 0.000 0.500 1
```

2.
Compound: CaPH2O4
Source: Alexandria
Functional: PBE-GGA
Structure: relaxed

CIF file:
```
data_CaPH2O4
_chemical_formula_sum 'Ca2 P2 H4 O8'
_cell_length_a 4.233
_cell_length_b 5.760
_cell_length_c 6.536
_cell_angle_alpha 90.00
_cell_angle_beta 90.00
_cell_angle_gamma 90.00
_symmetry_space_group_name_H-M 'I 2 2 2'
_symmetry_Int_Tables_number 23
_symmetry_space_group_name_Hall 'I 2 2'
loop_
_atom_site_label
_atom_site_type_symbol
_atom_site_fract_x
_atom_site_fract_y
_atom_site_fract_z
_atom_site_occupancy
Ca1 Ca 0.000 0.000 0.000 1
P1 P 0.000 0.000 0.500 1
H1 H 0.000 0.500 0.168 1
O1 O 0.249 0.387 0.840 1
```

3.
Compound: Ti2Nb2F
Source: Alexandria
Functional: PBE-GGA
Structure: relaxed

Energy above the lowest structure with this stoichiometry = 0.5497 eV per atom
Energy relative to the elements, uncorrected = 0.40 eV per atom

CIF file:
```
data_Ti2Nb2F
_chemical_formula_sum 'Ti4 Nb4 F2'
_cell_length_a 3.468
_cell_length_b 3.468
_cell_length_c 14.389
_cell_angle_alpha 90.00
_cell_angle_beta 90.00
_cell_angle_gamma 90.00
_symmetry_space_group_name_H-M 'I 4/m m m'
_symmetry_Int_Tables_number 139
_symmetry_space_group_name_Hall '-I 4 2'
loop_
_atom_site_label
_atom_site_type_symbol
_atom_site_fract_x
_atom_site_fract_y
_atom_site_fract_z
_atom_site_occupancy
Ti1 Ti 0.000 0.500 0.250 1
Nb1 Nb 0.000 0.000 0.088 1
F1 F 0.000 0.000 0.500 1
```

4.
Compound: Sr2Sc2C
Source: Alexandria
Functional: PBE-GGA
Structure: relaxed

Energy above the lowest structure with this stoichiometry = 0.0000 eV per atom
ΔH_f (0 K) = 454 kJ/mol of formula units

CIF file:
```
data_Sr2Sc2C
_chemical_formula_sum 'Sr4 Sc4 C2'
_cell_length_a 3.813
_cell_length_b 3.813
_cell_length_c 19.701
_cell_angle_alpha 90.00
_cell_angle_beta 90.00
_cell_angle_gamma 90.00
_symmetry_space_group_name_H-M 'I 4/m m m'
_symmetry_Int_Tables_number 139
_symmetry_space_group_name_Hall '-I 4 2'
loop_
_atom_site_label
_atom_site_type_symbol
_atom_site_fract_x
_atom_site_fract_y
_atom_site_fract_z
_atom_site_occupancy
Sr1 Sr 0.000 0.000 0.079 1
Sc1 Sc 0.000 0.500 0.250 1
C1 C 0.000 0.000 0.500 1
```

5.
Compound: SiNi2HPd
Source: Alexandria
Functional: PBE-GGA
Structure: relaxed

CIF file:
```
data_SiNi2HPd
_chemical_formula_sum 'Si1 Ni2 H1 Pd1'
_cell_length_a 3.659
_cell_length_b 3.659
_cell_length_c 3.829
_cell_angle_alpha 90.00
_cell_angle_beta 90.00
_cell_angle_gamma 90.00
_symmetry_space_group_name_H-M 'P 4/m m m'
_symmetry_Int_Tables_number 123
_symmetry_space_group_name_Hall '-P 4 2'
loop_
_atom_site_label
_atom_site_type_symbol
_atom_site_fract_x
_atom_site_fract_y
_atom_site_fract_z
_atom_site_occupancy
Si1 Si 0.000 0.000 0.000 1
Ni1 Ni 0.000 0.500 0.500 1
H1 H 0.500 0.500 0.500 1
Pd1 Pd 0.500 0.500 0.000 1
```

6.
Compound: Hf2CS
Source: Alexandria
Functional: PBE-GGA
Structure: relaxed

Energy above the lowest structure with this stoichiometry = 0.0000 eV per atom
Energy relative to the elements, uncorrected = -1.34 eV per atom

CIF file:
```
data_Hf2CS
_chemical_formula_sum 'Hf4 C2 S2'
_cell_length_a 3.3817
_cell_length_b 3.3817
_cell_length_c 12.0616
_cell_angle_alpha 90.00
_cell_angle_beta 90.00
_cell_angle_gamma 120.00
_symmetry_space_group_name_H-M 'P 63/m m c'
_symmetry_Int_Tables_number 194
_symmetry_space_group_name_Hall '-P 6c 2c'
loop_
_atom_site_label
_atom_site_type_symbol
_atom_site_fract_x
_atom_site_fract_y
_atom_site_fract_z
_atom_site_occupancy
Hf1 Hf 0.3333 0.6667 0.1000 1
C1 C 0.0000 0.0000 0.0000 1
S1 S 0.3333 0.6667 0.7500 1
```

7.
Compound: K3Cd3Sn
Source: Alexandria
Functional: PBE-GGA
Structure: relaxed

ΔH_f (0 K) = -75 kJ/mol of formula units

CIF file:
```
data_K3Cd3Sn
_chemical_formula_sum 'K12 Cd12 Sn4'
_cell_length_a 12.994
_cell_length_b 4.961
_cell_length_c 17.696
_cell_angle_alpha 90.00
_cell_angle_beta 107.55
_cell_angle_gamma 90.00
_symmetry_space_group_name_H-M 'C 1 2/m 1'
_symmetry_Int_Tables_number 12
_symmetry_space_group_name_Hall '-C 2y'
loop_
_atom_site_label
_atom_site_type_symbol
_atom_site_fract_x
_atom_site_fract_y
_atom_site_fract_z
_atom_site_occupancy
K1 K 0.011 0.000 0.385 1
K2 K 0.118 0.000 0.923 1
K3 K 0.250 0.000 0.230 1
Cd1 Cd 0.040 0.500 0.227 1
Cd2 Cd 0.088 0.500 0.076 1
Cd3 Cd 0.195 0.500 0.537 1
Sn1 Sn 0.227 0.500 0.376 1
```

8.
Compound: CdRe2Pb
Source: Alexandria
Functional: PBE-GGA
Structure: relaxed

Energy above the lowest structure with this stoichiometry = 0.6942 eV per atom
ΔH_f (0 K) = 398 kJ/mol of formula units

CIF file:
```
data_CdRe2Pb
_chemical_formula_sum 'Cd1 Re2 Pb1'
_cell_length_a 2.883
_cell_length_b 4.579
_cell_length_c 6.263
_cell_angle_alpha 90.00
_cell_angle_beta 90.00
_cell_angle_gamma 90.00
_symmetry_space_group_name_H-M 'P m m m'
_symmetry_Int_Tables_number 47
_symmetry_space_group_name_Hall '-P 2 2'
loop_
_atom_site_label
_atom_site_type_symbol
_atom_site_fract_x
_atom_site_fract_y
_atom_site_fract_z
_atom_site_occupancy
Cd1 Cd 0.000 0.000 0.000 1
Re1 Re 0.500 0.500 0.185 1
Pb1 Pb 0.000 0.000 0.500 1
```

9.
Compound: LaCd2Os
Source: Alexandria
Functional: PBE-GGA
Structure: relaxed

ΔH_f (0 K) = 126 kJ/mol of formula units

CIF file:
```
data_LaCd2Os
_chemical_formula_sum 'La4 Cd8 Os4'
_cell_length_a 4.216
_cell_length_b 4.216
_cell_length_c 21.566
_cell_angle_alpha 90.00
_cell_angle_beta 90.00
_cell_angle_gamma 90.00
_symmetry_space_group_name_H-M 'I -4 2 d'
_symmetry_Int_Tables_number 122
_symmetry_space_group_name_Hall 'I -4 2bw'
loop_
_atom_site_label
_atom_site_type_symbol
_atom_site_fract_x
_atom_site_fract_y
_atom_site_fract_z
_atom_site_occupancy
La1 La 0.000 0.000 0.000 1
Cd1 Cd 0.206 0.250 0.625 1
Os1 Os 0.000 0.000 0.500 1
```

10.
Compound: Tl2SbBr
Source: Alexandria
Functional: PBE-GGA
Structure: relaxed

Energy above the lowest structure with this stoichiometry = 0.1053 eV per atom
Energy relative to the elements, uncorrected = -0.16 eV per atom

CIF file:
```
data_Tl2SbBr
_chemical_formula_sum 'Tl8 Sb4 Br4'
_cell_length_a 7.828
_cell_length_b 7.828
_cell_length_c 7.828
_cell_angle_alpha 90.00
_cell_angle_beta 90.00
_cell_angle_gamma 90.00
_symmetry_space_group_name_H-M 'F m -3 m'
_symmetry_Int_Tables_number 225
_symmetry_space_group_name_Hall '-F 4 2 3'
loop_
_atom_site_label
_atom_site_type_symbol
_atom_site_fract_x
_atom_site_fract_y
_atom_site_fract_z
_atom_site_occupancy
Tl1 Tl 0.250 0.250 0.250 1
Sb1 Sb 0.000 0.000 0.000 1
Br1 Br 0.000 0.000 0.500 1
```

11.
Compound: LiBe2Bi2
Source: Alexandria
Functional: PBE-GGA
Structure: relaxed

Energy above the lowest structure with this stoichiometry = 0.0000 eV per atom
ΔH_f (0 K) = 78 kJ/mol of formula units

CIF file:
```
data_LiBe2Bi2
_chemical_formula_sum 'Li2 Be4 Bi4'
_cell_length_a 3.813
_cell_length_b 3.813
_cell_length_c 15.129
_cell_angle_alpha 90.00
_cell_angle_beta 90.00
_cell_angle_gamma 90.00
_symmetry_space_group_name_H-M 'I 4/m m m'
_symmetry_Int_Tables_number 139
_symmetry_space_group_name_Hall '-I 4 2'
loop_
_atom_site_label
_atom_site_type_symbol
_atom_site_fract_x
_atom_site_fract_y
_atom_site_fract_z
_atom_site_occupancy
Li1 Li 0.000 0.000 0.000 1
Be1 Be 0.000 0.500 0.250 1
Bi1 Bi 0.000 0.000 0.368 1
```

12.
Compound: NdSm4Tm2
Source: Alexandria
Functional: PBE-GGA
Structure: relaxed

Energy above the lowest structure with this stoichiometry = 0.0685 eV per atom
ΔH_f (0 K) = 85 kJ/mol of formula units

CIF file:
```
data_NdSm4Tm2
_chemical_formula_sum 'Nd2 Sm8 Tm4'
_cell_length_a 6.192
_cell_length_b 6.603
_cell_length_c 11.638
_cell_angle_alpha 90.00
_cell_angle_beta 104.68
_cell_angle_gamma 90.00
_symmetry_space_group_name_H-M 'P 1 21/m 1'
_symmetry_Int_Tables_number 11
_symmetry_space_group_name_Hall '-P 2yb'
loop_
_atom_site_label
_atom_site_type_symbol
_atom_site_fract_x
_atom_site_fract_y
_atom_site_fract_z
_atom_site_occupancy
Nd1 Nd 0.020 0.250 0.350 1
Sm1 Sm 0.156 0.250 0.652 1
Sm2 Sm 0.295 0.750 0.938 1
Sm3 Sm 0.359 0.502 0.212 1
Tm1 Tm 0.143 0.250 0.939 1
Tm2 Tm 0.398 0.750 0.500 1
```

13.
Compound: ScSiMo2
Source: Alexandria
Functional: PBE-GGA
Structure: relaxed

Energy relative to the elements, uncorrected = -0.14 eV per atom

CIF file:
```
data_ScSiMo2
_chemical_formula_sum 'Sc1 Si1 Mo2'
_cell_length_a 3.844
_cell_length_b 3.844
_cell_length_c 4.338
_cell_angle_alpha 90.00
_cell_angle_beta 90.00
_cell_angle_gamma 90.00
_symmetry_space_group_name_H-M 'P 4/m m m'
_symmetry_Int_Tables_number 123
_symmetry_space_group_name_Hall '-P 4 2'
loop_
_atom_site_label
_atom_site_type_symbol
_atom_site_fract_x
_atom_site_fract_y
_atom_site_fract_z
_atom_site_occupancy
Sc1 Sc 0.000 0.000 0.000 1
Si1 Si 0.500 0.500 0.000 1
Mo1 Mo 0.000 0.500 0.500 1
```

14.
Compound: BaSrAlPt
Source: Alexandria
Functional: PBE-GGA
Structure: relaxed

ΔH_f (0 K) = -245 kJ/mol of formula units

CIF file:
```
data_BaSrAlPt
_chemical_formula_sum 'Ba2 Sr2 Al2 Pt2'
_cell_length_a 7.680
_cell_length_b 4.435
_cell_length_c 8.868
_cell_angle_alpha 90.00
_cell_angle_beta 106.92
_cell_angle_gamma 90.00
_symmetry_space_group_name_H-M 'C 1 m 1'
_symmetry_Int_Tables_number 8
_symmetry_space_group_name_Hall 'C -2y'
loop_
_atom_site_label
_atom_site_type_symbol
_atom_site_fract_x
_atom_site_fract_y
_atom_site_fract_z
_atom_site_occupancy
Ba1 Ba 0.000 0.000 0.000 1
Sr1 Sr 0.173 0.000 0.516 1
Al1 Al 0.424 0.000 0.270 1
Pt1 Pt 0.258 0.500 0.271 1
```

15.
Compound: TbCe3Dy2Te6
Source: Alexandria
Functional: PBE-GGA
Structure: relaxed

Energy relative to the elements, uncorrected = -1.34 eV per atom

CIF file:
```
data_TbCe3Dy2Te6
_chemical_formula_sum 'Tb2 Ce6 Dy4 Te12'
_cell_length_a 7.589
_cell_length_b 13.169
_cell_length_c 7.780
_cell_angle_alpha 90.00
_cell_angle_beta 109.05
_cell_angle_gamma 90.00
_symmetry_space_group_name_H-M 'C 1 2/m 1'
_symmetry_Int_Tables_number 12
_symmetry_space_group_name_Hall '-C 2y'
loop_
_atom_site_label
_atom_site_type_symbol
_atom_site_fract_x
_atom_site_fract_y
_atom_site_fract_z
_atom_site_occupancy
Tb1 Tb 0.000 0.000 0.000 1
Ce1 Ce 0.000 0.166 0.500 1
Ce2 Ce 0.000 0.500 0.500 1
Dy1 Dy 0.000 0.333 0.000 1
Te1 Te 0.245 0.500 0.239 1
Te2 Te 0.247 0.167 0.239 1
```

16.
Compound: NaTaO3
Source: Alexandria
Functional: PBE-GGA
Structure: relaxed

Energy relative to the elements, uncorrected = -1.36 eV per atom

CIF file:
```
data_NaTaO3
_chemical_formula_sum 'Na4 Ta4 O12'
_cell_length_a 3.636
_cell_length_b 3.636
_cell_length_c 21.268
_cell_angle_alpha 90.00
_cell_angle_beta 90.00
_cell_angle_gamma 90.00
_symmetry_space_group_name_H-M 'I -4 m 2'
_symmetry_Int_Tables_number 119
_symmetry_space_group_name_Hall 'I -4 -2'
loop_
_atom_site_label
_atom_site_type_symbol
_atom_site_fract_x
_atom_site_fract_y
_atom_site_fract_z
_atom_site_occupancy
Na1 Na 0.000 0.000 0.000 1
Na2 Na 0.000 0.500 0.250 1
Ta1 Ta 0.000 0.500 0.633 1
O1 O 0.000 0.000 0.321 1
O2 O 0.000 0.258 0.105 1
```

M_tot per entry: 0.562; 0.088; 0.000; 0.318; 0.000; 0.000; 0.000; 0.000; 0.000; 0.000; 0.000; 0.000; 0.000; 0.000; 0.295; 0.135 μB per atom
Energy per entry: -5.28; -5.82; -7.16; -4.11; -5.35; -9.66; -1.55; -6.35; -4.17; -2.80; -3.26; -4.53; -8.50; -3.98; -5.55; -6.97 eV/atom